Compound: AlOs
Source: Alexandria via LeMat-Bulk
Functional: PBEsol
Structure: relaxed

Summary:
energy of formation from the pure elements	-382	meV per atom
density	13.471	g cm⁻³
total moment	0.00	μB/cell
N(E_F)	1.4	states/eV per cell

The structure in CIF format:
```
data_AlOs
_chemical_formula_sum 'Al1 Os1'
_cell_length_a 2.992
_cell_length_b 2.992
_cell_length_c 2.992
_cell_angle_alpha 90.00
_cell_angle_beta 90.00
_cell_angle_gamma 90.00
_space_group_name_H-M_alt 'P m -3 m'
_space_group_IT_number 221
_space_group_name_Hall '-P 4 2 3'
loop_
_atom_site_label
_atom_site_type_symbol
_atom_site_fract_x
_atom_site_fract_y
_atom_site_fract_z
Al1 Al 0.000 0.000 0.000
Os1 Os 0.500 0.500 0.500
```

Compound: LiTaP2O
Source: Alexandria via LeMat-Bulk
Functional: PBEsol
Structure: relaxed

Summary:
density	6.945	g cm⁻³
energy relative to the elements, uncorrected	234	meV/atom
total moment	0.00	μB/cell
N(E_F)	4.5	states/eV per cell

The structure in CIF format:
```
data_LiTaP2O
_chemical_formula_sum 'Li1 Ta1 P2 O1'
_cell_length_a 4.410
_cell_length_b 4.410
_cell_length_c 3.268
_cell_angle_alpha 90.00
_cell_angle_beta 90.00
_cell_angle_gamma 90.00
_space_group_name_H-M_alt 'P 4/m m m'
_space_group_IT_number 123
_space_group_name_Hall '-P 4 2'
loop_
_atom_site_label
_atom_site_type_symbol
_atom_site_fract_x
_atom_site_fract_y
_atom_site_fract_z
Li1 Li 0.000 0.000 0.000
Ta1 Ta 0.500 0.500 0.500
P1 P 0.000 0.500 0.000
O1 O 0.000 0.000 0.500
```

What is the formula in the first record? AlOs

Which formula does entry 2 have? LiTaP2O

Number 2 is which compound? LiTaP2O